Record 1
Compound: AcCd2Sn
Source: the Alexandria database
Functional: PBE
Structure: optimized geometry Values from VASP.

Quantum ESPRESSO input file:
```
&SYSTEM
  ibrav = 0, nat = 4, ntyp = 3
/
ATOMIC_SPECIES
Ac 227.00 Ac.upf
Cd 112.41 Cd.upf
Sn 118.71 Sn.upf
ATOMIC_POSITIONS angstrom
Ac 0.0000 0.0000 0.0000
Cd 2.0032 2.0032 2.0866
Cd 2.0032 2.0032 5.1758
Sn 0.0000 0.0000 3.6312
CELL_PARAMETERS angstrom
4.0064 0.0000 0.0000
0.0000 4.0064 0.0000
0.0000 0.0000 7.2624
```

Results
total DFT energy (no corrections)	-2.702	eV/atom
N(E_F)	2.34	states/eV per cell

---

Record 2
Compound: PrNpSi4
Source: the Alexandria database
Functional: PBE
Structure: optimized geometry Values from VASP.

Quantum ESPRESSO input file:
```
&SYSTEM
  ibrav = 0, nat = 24, ntyp = 3
/
ATOMIC_SPECIES
Pr 140.91 Pr.upf
Np 237.00 Np.upf
Si 28.09 Si.upf
ATOMIC_POSITIONS angstrom
Pr 0.6541 3.0567 0.0000
Pr 2.8487 11.3665 0.0000
Pr 4.1568 5.2532 0.0000
Pr 6.3514 13.5631 0.0000
Np 0.5881 7.2701 0.0000
Np 2.9146 15.5799 0.0000
Np 4.0909 1.0398 0.0000
Np 6.4174 9.3497 0.0000
Si 0.5008 11.3461 2.0064
Si 0.6329 15.4803 2.0064
Si 1.5568 9.1708 2.0064
Si 1.7026 13.4366 2.0064
Si 1.8002 5.1267 2.0064
Si 1.9459 0.8610 2.0064
Si 2.8699 7.1704 2.0064
Si 3.0020 3.0363 2.0064
Si 4.0035 13.5835 2.0064
Si 4.1356 9.4493 2.0064
Si 5.0596 15.7588 2.0064
Si 5.2053 11.4930 2.0064
Si 5.3029 3.1832 2.0064
Si 5.4487 7.4489 2.0064
Si 6.3726 1.1394 2.0064
Si 6.5047 5.2736 2.0064
CELL_PARAMETERS angstrom
7.0055 0.0000 0.0000
0.0000 16.6197 0.0000
0.0000 0.0000 4.0129
```

Results
formation energy from raw total energies	-0.314	eV/atom
total DFT energy (no corrections)	-6.883	eV/atom
N(E_F)	24.59	states/eV per cell

---

Record 3
Compound: La2CeTh3S6
Source: the Alexandria database
Functional: PBE
Structure: optimized geometry Values from VASP.

Quantum ESPRESSO input file:
```
&SYSTEM
  ibrav = 0, nat = 12, ntyp = 4
/
ATOMIC_SPECIES
La 138.91 La.upf
Ce 140.12 Ce.upf
Th 232.04 Th.upf
S 32.06 S.upf
ATOMIC_POSITIONS angstrom
La 2.3062 0.0000 2.6270
La 13.5677 0.0000 5.2796
Ce 8.8939 0.0000 0.0000
Th 1.3775 0.0000 6.6060
Th 7.9370 0.0000 3.9533
Th 14.4964 0.0000 1.3005
S -1.4016 0.0000 5.9477
S 5.1555 0.0000 3.2599
S 4.1855 0.0000 7.2739
S 11.6884 0.0000 0.6326
S 10.7184 0.0000 4.6466
S 17.2755 0.0000 1.9588
CELL_PARAMETERS angstrom
8.8939 -2.0406 0.0000
8.8939 2.0406 0.0000
-1.9138 0.0000 7.9065
```

Results
formation energy from raw total energies	-1.981	eV/atom
total DFT energy (no corrections)	-7.215	eV/atom
N(E_F)	10.28	states/eV per cell

---

Record 4
Compound: HfScAu
Source: the Alexandria database
Functional: PBE
Structure: optimized geometry Values from VASP.

Quantum ESPRESSO input file:
```
&SYSTEM
  ibrav = 0, nat = 6, ntyp = 3
/
ATOMIC_SPECIES
Hf 178.49 Hf.upf
Sc 44.96 Sc.upf
Au 196.97 Au.upf
ATOMIC_POSITIONS angstrom
Hf 0.0000 0.0000 0.0000
Hf 7.2529 0.0000 0.2843
Sc 1.7741 0.0000 2.5152
Sc 4.9270 0.0000 2.2704
Au 0.2143 0.0000 4.8213
Au 8.5652 0.0000 2.7994
CELL_PARAMETERS angstrom
5.2105 -2.3609 0.0000
5.2105 2.3609 0.0000
-3.3718 0.0000 5.1129
```

Results
energy relative to the lowest polymorph listed for this composition	0.30	eV/f.u.
total DFT energy (no corrections)	-6.898	eV/atom
N(E_F)	3.04	states/eV per cell